Pr2HgOs PBE-GGA relaxed; ΔE to the lowest computed polymorph = 0 meV/atom; formation enthalpy at 0 K = -17 kJ/mol of atoms; E_tot = -5.4451 eV per atom
1.0
3.568 0.000 0.000
0.000 3.568 0.000
0.000 0.000 8.088
Pr Os Hg
2 1 1
direct
0.000 0.000 0.217 Pr
0.000 0.000 0.783 Pr
0.500 0.500 0.000 Os
0.500 0.500 0.500 Hg